Computed, not measured: a relaxed KNaCrO4 crystal at the PBE with a Hubbard U level of DFT.

Cell lengths 5.805, 6.024, 7.154 Å; angles 90.00, 107.44, 90.00 degrees
Positions (direct):
Na (0.804, 0.750, 0.469)
Na (0.196, 0.250, 0.531)
O (0.069, 0.528, 0.281)
O (0.417, 0.750, 0.557)
O (0.583, 0.250, 0.443)
O (0.931, 0.472, 0.719)
O (0.568, 0.250, 0.817)
O (0.069, 0.972, 0.281)
O (0.432, 0.750, 0.183)
O (0.931, 0.028, 0.719)
K (0.709, 0.750, 0.935)
K (0.291, 0.250, 0.065)
Cr (0.250, 0.750, 0.325)
Cr (0.750, 0.250, 0.675)

Output
As for the total moment: 0.02 μB/atom. As for the total energy: -82.342 eV per cell. Its space group is No. 11.